Record 1
This record from the Alexandria database describes crystalline BeAl at its relaxed geometry. The functional is PBE.

Lattice parameters (Å, degrees): 3.859 3.859 3.859 60.00 60.00 60.00
Atoms (fractional coordinates):
Be: 0.000 0.000 0.000
Al: 0.250 0.250 0.250

## Properties
DFT formation energy ... 1137 meV/atom
E_tot ... -5.2 eV/f.u.

---

Record 2
This record from the Alexandria database describes crystalline Be6Al at its relaxed geometry. The functional is PBE.

Lattice parameters (Å, degrees): 4.915 4.915 4.915 109.47 109.47 109.47
Atoms (fractional coordinates):
Be: 0.250 0.500 0.750
Be: 0.250 0.750 0.500
Be: 0.500 0.250 0.750
Be: 0.500 0.750 0.250
Be: 0.750 0.250 0.500
Be: 0.750 0.500 0.250
Al: 0.000 0.000 0.000

## Properties
DFT formation energy ... 1198 meV/atom
E_tot ... -17.7 eV/f.u.

---

Record 3
This record from the Alexandria database describes crystalline Be2Al at its relaxed geometry. The functional is PBE.

Lattice parameters (Å, degrees): 5.986 5.986 5.986 146.12 146.12 48.67
Atoms (fractional coordinates):
Be: 0.000 0.500 0.500
Be: 0.111 0.111 0.000
Be: 0.500 0.000 0.500
Be: 0.889 0.889 0.000
Al: 0.331 0.331 0.000
Al: 0.669 0.669 0.000

## Properties
DFT formation energy ... 61 meV/atom
E_tot ... -11.0 eV/f.u.

---

Record 4
This record from the Alexandria database describes crystalline Be2Al at its relaxed geometry. The functional is PBE.

Lattice parameters (Å, degrees): 4.183 4.183 5.556 110.51 110.51 50.09
Atoms (fractional coordinates):
Be: 0.000 0.000 0.000
Be: 0.514 0.514 0.769
Be: 0.744 0.744 0.143
Be: 0.871 0.871 0.567
Al: 0.228 0.228 0.805
Al: 0.499 0.499 0.335

## Properties
DFT formation energy ... 163 meV/atom
E_tot ... -10.7 eV/f.u.

---

Record 5
This record from the Alexandria database describes crystalline BeAl at its relaxed geometry. The functional is PBE.

Lattice parameters (Å, degrees): 4.170 4.170 4.170 38.99 38.99 38.99
Atoms (fractional coordinates):
Be: 0.000 0.000 0.000
Al: 0.500 0.500 0.500

## Properties
DFT formation energy ... 262 meV/atom
E_tot ... -6.9 eV/f.u.

---

Record 6
This record from the Alexandria database describes crystalline BeAl3 at its relaxed geometry. The functional is PBE.

Lattice parameters (Å, degrees): 4.651 4.651 4.651 129.44 129.44 74.31
Atoms (fractional coordinates):
Be: 0.000 0.000 0.000
Al: 0.250 0.750 0.500
Al: 0.500 0.500 0.000
Al: 0.750 0.250 0.500

## Properties
DFT formation energy ... 145 meV/atom
E_tot ... -14.4 eV/f.u.

---

Record 7
This record from the Alexandria database describes crystalline BeAl3 at its relaxed geometry. The functional is PBE.

Lattice parameters (Å, degrees): 2.753 2.753 8.998 90.00 90.00 120.00
Atoms (fractional coordinates):
Be: 0.000 0.000 0.000
Al: 0.000 0.000 0.500
Al: 0.333 0.667 0.223
Al: 0.333 0.667 0.777

## Properties
DFT formation energy ... 179 meV/atom
E_tot ... -14.2 eV/f.u.

---

Record 8
This record from the Alexandria database describes crystalline BeAl at its relaxed geometry. The functional is PBE.

Lattice parameters (Å, degrees): 4.549 4.680 9.333 90.00 90.00 90.00
Atoms (fractional coordinates):
Be: 0.121 0.130 0.483
Be: 0.148 0.613 0.830
Be: 0.352 0.387 0.330
Be: 0.379 0.870 0.983
Be: 0.621 0.370 0.517
Be: 0.648 0.887 0.170
Be: 0.852 0.113 0.670
Be: 0.879 0.630 0.017
Al: 0.120 0.625 0.564
Al: 0.151 0.873 0.239
Al: 0.349 0.127 0.739
Al: 0.380 0.375 0.064
Al: 0.620 0.875 0.436
Al: 0.651 0.627 0.761
Al: 0.849 0.373 0.261
Al: 0.880 0.125 0.936

## Properties
DFT formation energy ... 159 meV/atom
E_tot ... -7.1 eV/f.u.

---

Record 9
This record from the Alexandria database describes crystalline BeAl at its relaxed geometry. The functional is PBE.

Lattice parameters (Å, degrees): 3.472 3.472 3.472 60.00 60.00 60.00
Atoms (fractional coordinates):
Be: 0.000 0.000 0.000
Al: 0.500 0.500 0.500

## Properties
DFT formation energy ... 664 meV/atom
E_tot ... -6.1 eV/f.u.

---

Record 10
This record from the Alexandria database describes crystalline BeAl at its relaxed geometry. The functional is PBE.

Lattice parameters (Å, degrees): 5.835 5.835 5.835 138.48 58.08 141.26
Atoms (fractional coordinates):
Be: 0.000 0.000 0.000
Be: 0.404 0.512 0.892
Be: 0.621 0.512 0.108
Al: 0.264 0.021 0.244
Al: 0.366 0.866 0.500
Al: 0.777 0.021 0.756

## Properties
DFT formation energy ... 175 meV/atom
E_tot ... -7.1 eV/f.u.

---

Record 11
This record from the Alexandria database describes crystalline BeAl3 at its relaxed geometry. The functional is PBE.

Lattice parameters (Å, degrees): 5.221 5.221 5.221 149.52 64.57 124.58
Atoms (fractional coordinates):
Be: 0.000 0.000 0.000
Al: 0.067 0.339 0.728
Al: 0.447 0.947 0.500
Al: 0.611 0.339 0.272

## Properties
DFT formation energy ... 187 meV/atom
E_tot ... -14.2 eV/f.u.

---

Record 12
This record from the Alexandria database describes crystalline Be2Al at its relaxed geometry. The functional is PBE.

Lattice parameters (Å, degrees): 3.488 3.488 5.486 90.00 90.00 90.00
Atoms (fractional coordinates):
Be: 0.250 0.250 0.239
Be: 0.250 0.750 0.000
Be: 0.750 0.250 0.000
Be: 0.750 0.750 0.761
Al: 0.250 0.250 0.671
Al: 0.750 0.750 0.329

## Properties
DFT formation energy ... 102 meV/atom
E_tot ... -10.9 eV/f.u.

---

Record 13
This record from the Alexandria database describes crystalline Be5Al at its relaxed geometry. The functional is PBE.

Lattice parameters (Å, degrees): 5.342 5.342 3.387 90.00 90.00 142.81
Atoms (fractional coordinates):
Be: 0.000 0.000 0.000
Be: 0.178 0.822 0.500
Be: 0.323 0.677 0.000
Be: 0.677 0.323 0.000
Be: 0.822 0.178 0.500
Al: 0.500 0.500 0.500

## Properties
DFT formation energy ... 250 meV/atom
E_tot ... -20.9 eV/f.u.

---

Record 14
This record from the Alexandria database describes crystalline BeAl3 at its relaxed geometry. The functional is PBE.

Lattice parameters (Å, degrees): 3.880 3.880 3.880 90.00 90.00 90.00
Atoms (fractional coordinates):
Be: 0.000 0.000 0.000
Al: 0.000 0.500 0.500
Al: 0.500 0.000 0.500
Al: 0.500 0.500 0.000

## Properties
DFT formation energy ... 163 meV/atom
E_tot ... -14.3 eV/f.u.

---

Record 15
This record from the Alexandria database describes crystalline BeAl3 at its relaxed geometry. The functional is PBE.

Lattice parameters (Å, degrees): 6.141 7.396 5.234 90.00 90.00 90.00
Atoms (fractional coordinates):
Be: 0.125 0.250 0.048
Be: 0.375 0.750 0.548
Be: 0.625 0.250 0.452
Be: 0.875 0.750 0.952
Al: 0.001 0.250 0.590
Al: 0.180 0.548 0.845
Al: 0.180 0.952 0.845
Al: 0.320 0.048 0.345
Al: 0.320 0.452 0.345
Al: 0.499 0.750 0.090
Al: 0.501 0.250 0.910
Al: 0.680 0.548 0.655
Al: 0.680 0.952 0.655
Al: 0.820 0.048 0.155
Al: 0.820 0.452 0.155
Al: 0.999 0.750 0.410

## Properties
DFT formation energy ... 125 meV/atom
E_tot ... -14.5 eV/f.u.

---

Record 16
This record from the Alexandria database describes crystalline Be3Al2 at its relaxed geometry. The functional is PBE.

Lattice parameters (Å, degrees): 7.256 4.381 7.874 65.56 33.34 81.10
Atoms (fractional coordinates):
Be: 0.000 0.000 0.000
Be: 0.208 0.311 0.534
Be: 0.250 0.250 0.250
Be: 0.304 0.716 0.939
Be: 0.311 0.208 0.946
Be: 0.716 0.304 0.042
Al: 0.298 0.729 0.610
Al: 0.640 0.888 0.952
Al: 0.729 0.298 0.362
Al: 0.888 0.640 0.521

## Properties
DFT formation energy ... 125 meV/atom
E_tot ... -18.0 eV/f.u.

---

Record 17
This record from the Alexandria database describes crystalline Be5Al at its relaxed geometry. The functional is PBE.

Lattice parameters (Å, degrees): 3.565 7.070 7.070 19.60 90.00 90.00
Atoms (fractional coordinates):
Be: 0.000 0.000 0.000
Be: 0.000 0.262 0.262
Be: 0.000 0.631 0.631
Be: 0.500 0.109 0.109
Be: 0.500 0.745 0.745
Al: 0.500 0.409 0.409

## Properties
DFT formation energy ... 198 meV/atom
E_tot ... -21.2 eV/f.u.

---

Record 18
This record from the Alexandria database describes crystalline BeAl at its relaxed geometry. The functional is PBE.

Lattice parameters (Å, degrees): 2.692 2.692 8.121 90.00 90.00 120.00
Atoms (fractional coordinates):
Be: 0.333 0.667 0.100
Be: 0.667 0.333 0.900
Al: 0.333 0.667 0.651
Al: 0.667 0.333 0.349

## Properties
DFT formation energy ... 275 meV/atom
E_tot ... -6.9 eV/f.u.

---

Record 19
This record from the Alexandria database describes crystalline BeAl at its relaxed geometry. The functional is PBE.

Lattice parameters (Å, degrees): 4.163 4.163 4.578 90.00 90.00 120.00
Atoms (fractional coordinates):
Be: 0.333 0.667 0.250
Be: 0.667 0.333 0.750
Al: 0.333 0.667 0.750
Al: 0.667 0.333 0.250

## Properties
DFT formation energy ... 695 meV/atom
E_tot ... -6.1 eV/f.u.

---

Record 20
This record from the Alexandria database describes crystalline BeAl3 at its relaxed geometry. The functional is PBE.

Lattice parameters (Å, degrees): 5.485 5.485 4.483 90.00 90.00 120.00
Atoms (fractional coordinates):
Be: 0.333 0.667 0.250
Be: 0.667 0.333 0.750
Al: 0.170 0.340 0.750
Al: 0.170 0.830 0.750
Al: 0.340 0.170 0.250
Al: 0.660 0.830 0.750
Al: 0.830 0.170 0.250
Al: 0.830 0.660 0.250

## Properties
DFT formation energy ... 189 meV/atom
E_tot ... -14.2 eV/f.u.

---

Record 21
This record from the Alexandria database describes crystalline BeAl at its relaxed geometry. The functional is PBE.

Lattice parameters (Å, degrees): 5.632 5.632 5.632 96.26 96.26 141.43
Atoms (fractional coordinates):
Be: 0.168 0.168 0.337
Be: 0.168 0.832 0.000
Be: 0.832 0.168 0.000
Be: 0.832 0.832 0.663
Al: 0.201 0.500 0.701
Al: 0.500 0.201 0.701
Al: 0.500 0.799 0.299
Al: 0.799 0.500 0.299

## Properties
DFT formation energy ... 261 meV/atom
E_tot ... -6.9 eV/f.u.

---

Record 22
This record from the Alexandria database describes crystalline Be3Al5 at its relaxed geometry. The functional is PBE.

Lattice parameters (Å, degrees): 5.410 5.410 3.735 90.00 90.00 93.63
Atoms (fractional coordinates):
Be: 0.000 0.000 0.000
Be: 0.251 0.749 0.500
Be: 0.749 0.251 0.500
Al: 0.000 0.500 0.000
Al: 0.224 0.224 0.500
Al: 0.500 0.000 0.000
Al: 0.500 0.500 0.000
Al: 0.776 0.776 0.500

## Properties
DFT formation energy ... 208 meV/atom
E_tot ... -28.2 eV/f.u.

---

Record 23
This record from the Alexandria database describes crystalline BeAl5 at its relaxed geometry. The functional is PBE.

Lattice parameters (Å, degrees): 2.781 2.781 11.705 90.00 90.00 90.00
Atoms (fractional coordinates):
Be: 0.000 0.000 0.000
Al: 0.000 0.000 0.319
Al: 0.000 0.000 0.681
Al: 0.500 0.500 0.138
Al: 0.500 0.500 0.500
Al: 0.500 0.500 0.862

## Properties
DFT formation energy ... 69 meV/atom
E_tot ... -22.0 eV/f.u.

---

Record 24
This record from the Alexandria database describes crystalline BeAl at its relaxed geometry. The functional is PBE.

Lattice parameters (Å, degrees): 4.749 4.749 4.433 105.02 105.02 31.52
Atoms (fractional coordinates):
Be: 0.151 0.151 0.352
Be: 0.849 0.849 0.648
Al: 0.393 0.393 0.172
Al: 0.607 0.607 0.828

## Properties
DFT formation energy ... 213 meV/atom
E_tot ... -7.0 eV/f.u.

---

Record 25
This record from the Alexandria database describes crystalline BeAl5 at its relaxed geometry. The functional is PBE.

Lattice parameters (Å, degrees): 4.338 7.668 7.668 21.40 90.00 90.00
Atoms (fractional coordinates):
Be: 0.000 0.000 0.000
Al: 0.000 0.346 0.346
Al: 0.000 0.663 0.663
Al: 0.500 0.110 0.110
Al: 0.500 0.455 0.455
Al: 0.500 0.780 0.780

## Properties
DFT formation energy ... 136 meV/atom
E_tot ... -21.6 eV/f.u.

---

Record 26
This record from the Alexandria database describes crystalline Be5Al at its relaxed geometry. The functional is PBE.

Lattice parameters (Å, degrees): 2.528 2.528 9.000 90.00 90.00 90.00
Atoms (fractional coordinates):
Be: 0.000 0.000 0.000
Be: 0.000 0.000 0.288
Be: 0.000 0.000 0.712
Be: 0.500 0.500 0.141
Be: 0.500 0.500 0.859
Al: 0.500 0.500 0.500

## Properties
DFT formation energy ... 209 meV/atom
E_tot ... -21.1 eV/f.u.